This record from Alexandria via LeMat-Bulk describes crystalline YZrH4 at its relaxed geometry. The functional is GGA-PBE.

Calculated values
Magnetic moment ... 0.00 μB/f.u.
Total energy ... -5.375 eV per atom

abc: 3.483 3.483 5.092
angles: 90.00 90.00 90.00
Element x y z (fractional)
Y: 0.000 0.000 0.000
Zr: 0.500 0.500 0.500
H: 0.000 0.500 0.272
H: 0.000 0.500 0.728
H: 0.500 0.000 0.272
H: 0.500 0.000 0.728